# KScHg3

A relaxed structure of KScHg3 (PBE-GGA, Alexandria via LeMat-Bulk).

abc: 5.6401 5.6401 5.6401
angles: 90.00 90.00 90.00
With the nearest neighbours (Å) after each atom.
Sites, in units of the cell vectors:
K  0.0000  0.0000  0.0000  12 Hg 3.99
Sc  0.5000  0.5000  0.5000  6 Hg 2.82
Hg  0.0000  0.5000  0.5000  2 Sc 2.82
Hg  0.5000  0.0000  0.5000  2 Sc 2.82
Hg  0.5000  0.5000  0.0000  2 Sc 2.82

Output
calculated density = 6.347 Mg/m³
ΔH_f (0 K) = -0.096 eV per formula unit
energy above the lowest structure with this stoichiometry = 0.00 eV per formula unit
Fermi-level density of states = 4.536 states/eV/f.u.